The following is a PBE with a Hubbard U calculation of crystalline HWOF2 at its relaxed geometry, from the Alexandria database.

It has space group P4/mmm (No. 123), with a = 3.2101 Å, b = 3.2101 Å, c = 4.3789 Å, α = 90.00°, β = 90.00° and γ = 90.00°. Symmetry generates all atoms from H at (0.0000, 0.0000, 0.0000), W at (0.5000, 0.5000, 0.5000), O at (0.0000, 0.0000, 0.5000) and F at (0.0000, 0.5000, 0.0000).

As for the raw total energy: -4.746 eV per atom. For the size of the total moment, the calculation gives 0.600 μB/atom. The value obtained for the energy above the most stable polymorph in this dataset is 489 meV per atom. The calculation puts the volume at 9.0 Å³/atom.